## La2IrAu (PBE)

Data for a relaxed La2IrAu crystal.

Calculated values
Space-group type: R3m
Energy of formation: -301 kJ/mol of formula units

Cell: 4.224 4.224 7.769 Å, 74.22 74.22 60.00°
Positions (direct):
La: 0.071 0.071 0.787
La: 0.262 0.262 0.214
Ir: 0.666 0.666 0.002
Au: 0.501 0.501 0.498